First-principles (GGA-PBE) data for a relaxed Pm2ErCd5 crystal, as listed in Alexandria.

Lattice parameters (Å, degrees): 8.5041 8.5041 8.5041 144.78 144.78 50.67
Last column: nearest neighbours and their distance in Å.
Fractional positions:
Pm 0.2387 0.2387 0.0000  8 Cd 3.21-3.42
Pm 0.7613 0.7613 0.0000  8 Cd 3.21-3.42
Er 0.5000 0.5000 0.0000  8 Cd 3.12
Cd 0.0000 0.0000 0.0000  8 Cd 3.12
Cd 0.1143 0.6143 0.5000  2 Cd 3.12, 2 Er 3.12, 4 Pm 3.21-3.42
Cd 0.3857 0.8857 0.5000  2 Er 3.12, 2 Cd 3.12, 4 Pm 3.21-3.42
Cd 0.6143 0.1143 0.5000  2 Cd 3.12, 2 Er 3.12, 4 Pm 3.21-3.42
Cd 0.8857 0.3857 0.5000  2 Er 3.12, 2 Cd 3.12, 4 Pm 3.21-3.42

SG: I4/mmm (139)
Crystal system: tetragonal
DFT formation energy (kcal/mol of atoms): -6.84
Energy (eV/cell): -21.014